1.
## Cr2PbCl (PBE)

Data for crystalline Cr2PbCl at its relaxed geometry.

Energy in eV per atom: -5.881
Energy above the most stable polymorph in this dataset in meV per atom: 254.0
Spin magnetization in μB per cell: 7.80

Lattice parameters (Å, degrees): 4.7417 4.7417 7.9343 58.38 58.38 41.08
Last column: magnetic moment on the atom in μB.
Atoms (fractional coordinates):
Cl 0.7500 0.7500 0.7500  -0.02
Pb 0.2500 0.2500 0.2500  -0.21
Cr 0.4306 0.4306 0.4522  3.70
Cr 0.0694 0.0694 0.0478  3.70

2.
## Er2ScIn3Se6 (PBE)

Data for crystalline Er2ScIn3Se6 at its relaxed geometry.

Energy in eV per atom: -4.969
Spin magnetization in μB per cell: 0.00

Lattice parameters (Å, degrees): 7.0261 7.0261 8.0652 98.35 98.35 119.95
Atoms (fractional coordinates):
In 0.5000 0.5000 0.5000
Se 0.2545 0.2545 0.7934
Se 0.3905 0.0677 0.2029
In 0.1699 0.8301 0.5000
Se 0.0677 0.3905 0.2029
Se 0.6095 0.9323 0.7971
Er 0.3336 0.6664 0.0000
Er 0.6664 0.3336 0.0000
Se 0.7455 0.7455 0.2066
Se 0.9323 0.6095 0.7971
In 0.8301 0.1699 0.5000
Sc 0.0000 0.0000 0.0000

3.
## ZnSb2TeAs (PBE)

Data for crystalline ZnSb2TeAs at its relaxed geometry.

Energy in eV per atom: -2.762
Energy above the most stable polymorph in this dataset in meV per atom: 16.2
Spin magnetization in μB per cell: 0.00

Lattice parameters (Å, degrees): 5.1569 5.1569 5.2933 90.00 90.00 90.00
Atoms (fractional coordinates):
Te 0.0000 0.0000 0.5000
As 0.5000 0.5000 0.5000
Zn 0.0000 0.0000 0.0000
Sb 0.5000 0.0000 0.0000
Sb 0.0000 0.5000 0.0000

4.
## HfFe2WCl (PBE)

Data for crystalline HfFe2WCl at its relaxed geometry.

Energy in eV per atom: -7.120
Spin magnetization in μB per cell: 0.00

Lattice parameters (Å, degrees): 4.4880 4.5238 4.4880 90.00 90.00 90.00
Atoms (fractional coordinates):
Hf 0.5000 0.5000 0.5000
Fe 0.5000 0.0000 0.0000
W 0.0000 0.0000 0.0000
Fe 0.0000 0.0000 0.5000
Cl 0.0000 0.5000 0.0000

5.
## TaNbS3 (PBE)

Data for crystalline TaNbS3 at its relaxed geometry.

Energy in eV per atom: -6.725
Energy above the most stable polymorph in this dataset in meV per atom: 1133.1
Spin magnetization in μB per cell: 3.11

Lattice parameters (Å, degrees): 4.7377 4.7377 4.7377 90.00 90.00 90.00
Last column: magnetic moment on the atom in μB.
Atoms (fractional coordinates):
S 0.0000 0.5000 0.0000  -0.09
S 0.5000 0.0000 0.0000  -0.04
S 0.0000 0.0000 0.5000  -0.06
Nb 0.5000 0.5000 0.5000  2.60
Ta 0.0000 0.0000 0.0000  0.09

6.
## La2DyO (PBE)

Data for crystalline La2DyO at its relaxed geometry.

Energy in eV per atom: -6.014
Spin magnetization in μB per cell: 0.00

Lattice parameters (Å, degrees): 3.6609 3.6609 9.7486 79.18 79.18 60.00
Atoms (fractional coordinates):
O 0.5000 0.5000 0.5000
La 0.8828 0.8828 0.3517
Dy 0.0000 0.0000 0.0000
La 0.1172 0.1172 0.6483

7.
## Ca3Cd2Pb (PBE)

Data for crystalline Ca3Cd2Pb at its relaxed geometry.

Energy in eV per atom: -2.351
Spin magnetization in μB per cell: 0.00

Lattice parameters (Å, degrees): 4.2547 5.2142 8.2387 108.45 90.00 90.00
Atoms (fractional coordinates):
Ca 0.5000 0.5000 0.0000
Ca 0.5000 0.1657 0.3313
Ca 0.5000 0.8343 0.6687
Pb 0.0000 0.0000 0.0000
Cd 0.0000 0.6701 0.3401
Cd 0.0000 0.3299 0.6599

8.
## HfInN2F (PBE)

Data for crystalline HfInN2F at its relaxed geometry.

Energy in eV per atom: -6.081
Energy above the most stable polymorph in this dataset in meV per atom: 993.9
Spin magnetization in μB per cell: 0.00

Lattice parameters (Å, degrees): 4.2120 4.2120 3.9425 90.00 90.00 90.00
Atoms (fractional coordinates):
N 0.5000 0.0000 0.0000
Hf 0.5000 0.5000 0.5000
In 0.0000 0.0000 0.0000
F 0.0000 0.0000 0.5000
N 0.0000 0.5000 0.0000

Calculated density values, unit Mg/m³, following the record order: 5.9, 6.0, 6.0, 9.3, 5.8, 6.9, 5.3, 8.1.